# SiCSN2 | Alexandria | GGA-PBEsol | relaxed
data_SiCSN2
_chemical_formula_sum 'Si1 C1 S1 N2'
_cell_length_a 3.402
_cell_length_b 3.402
_cell_length_c 3.907
_cell_angle_alpha 90.00
_cell_angle_beta 90.00
_cell_angle_gamma 90.00
_space_group_name_H-M_alt 'P 4/m m m'
_space_group_IT_number 123
_space_group_name_Hall '-P 4 2'
loop_
_atom_site_label
_atom_site_type_symbol
_atom_site_fract_x
_atom_site_fract_y
_atom_site_fract_z
Si1 Si 0.000 0.000 0.000
C1 C 0.500 0.500 0.500
S1 S 0.500 0.500 0.000
N1 N 0.000 0.500 0.500
# crystal system = tetragonal
# energy relative to the elements, uncorrected = 1.81 eV/atom
# E_tot = -5.551 eV per atom
# mass density = 3.68 g/cm³